A plane-wave DFT calculation with GGA-PBE was carried out for crystalline Sm6Ho2Tm3Tl at its relaxed geometry.

Calculated values
E (eV/atom): -4.45
D(E_F) (states/eV per atom): 1.0876
M_tot (μB per formula unit): 0.0

CIF file:
```
data_Sm6Ho2Tm3Tl
_cell_length_a 6.138
_cell_length_b 10.644
_cell_length_c 11.692
_cell_angle_alpha 90.00
_cell_angle_beta 100.13
_cell_angle_gamma 90.00
_space_group_name_H-M_alt 'C 1 2/m 1'
_space_group_IT_number 12
loop_
_space_group_symop_operation_xyz
'x,y,z'
'-x,-y,-z'
'-x,y,-z'
'x,-y,z'
'x+1/2,y+1/2,z'
'-x+1/2,-y+1/2,-z'
'-x+1/2,y+1/2,-z'
'x+1/2,-y+1/2,z'
loop_
_atom_site_label
_atom_site_type_symbol
_atom_site_fract_x
_atom_site_fract_y
_atom_site_fract_z
Sm1 Sm 0.245 0.000 0.249
Sm2 Sm 0.248 0.165 0.750
Ho1 Ho 0.000 0.334 0.500
Tm1 Tm 0.000 0.167 0.000
Tm2 Tm 0.000 0.500 0.000
Tl1 Tl 0.000 0.000 0.500
```